Here is a relaxed Li2ZrW crystal from OQMD. Energies are from PBE.

Cell and atoms, written as POSCAR:
```
Li2ZrW
1.0
0.000 3.246 3.246
3.246 0.000 3.246
3.246 3.246 0.000
Li W Zr
2 1 1
Direct
0.000 0.000 0.000
0.750 0.750 0.750
0.500 0.500 0.500
0.250 0.250 0.250
```

Properties
Space group   F-43m
Total magnetic moment   0.136 μB per formula unit
E_tot   -5.61 eV per atom


Here is a relaxed Li2YZn crystal from OQMD. Energies are from PBE.

Cell and atoms, written as POSCAR:
```
Li2YZn
1.0
-1.190 -4.624 -0.671
-4.636 -1.264 -0.393
-1.753 -1.446 -4.252
Li Y Zn
2 1 1
Direct
0.000 0.000 0.000
0.750 0.750 0.750
0.250 0.250 0.250
0.500 0.500 0.500
```

Properties
Space group   F-43m
Total magnetic moment   0.736 μB per formula unit
E_tot   -2.95 eV per atom


Here is a relaxed Li2Y2Zn15 crystal from OQMD. Energies are from PBE.

Cell and atoms, written as POSCAR:
```
Li2Y2Zn15
1.0
4.492 2.593 4.332
-4.492 2.593 4.332
0.000 -5.187 4.332
Li Y Zn
2 2 15
Direct
0.098 0.098 0.098
0.902 0.902 0.902
0.340 0.340 0.340
0.660 0.660 0.660
0.500 0.000 0.000
0.703 0.297 0.000
0.000 0.500 0.000
0.297 0.703 0.000
0.649 0.649 0.160
0.703 0.000 0.297
0.000 0.703 0.297
0.840 0.351 0.351
0.351 0.840 0.351
0.000 0.000 0.500
0.649 0.160 0.649
0.160 0.649 0.649
0.297 0.000 0.703
0.000 0.297 0.703
0.351 0.351 0.840
```

Properties
Space group   R-3m
Total magnetic moment   0.019 μB per formula unit
E_tot   -2.14 eV per atom


Here is a relaxed LiZn crystal from OQMD. Energies are from PBE.

Cell and atoms, written as POSCAR:
```
LiZn
1.0
3.068 -3.068 0.000
-3.068 0.000 -3.068
3.068 3.068 0.000
Li Zn
2 2
Direct
0.000 0.000 0.000
0.750 0.500 0.250
0.500 0.000 0.500
0.250 0.500 0.750
```

Properties
Space group   Fd-3m
E_tot   -1.80 eV per atom


Here is a relaxed LiZn crystal from OQMD. Energies are from PBE.

Cell and atoms, written as POSCAR:
```
LiZn
1.0
-1.059 -3.984 2.533
4.958 -0.140 1.852
-1.193 2.465 3.379
Li Zn
4 4
Direct
0.012 0.491 0.000
0.512 0.759 0.000
0.322 0.491 0.500
0.822 0.759 0.500
0.025 0.002 0.000
0.525 0.248 0.000
0.309 0.002 0.500
0.809 0.248 0.500
```

Properties
Space group   Pbcm
E_tot   -1.73 eV per atom


Here is a relaxed LiZn6 crystal from OQMD. Energies are from PBE.

Cell and atoms, written as POSCAR:
```
LiZn6
1.0
9.400 0.000 0.000
0.000 9.400 0.000
0.000 0.000 9.384
Li Zn
8 48
Direct
0.678 0.178 0.034
0.322 0.822 0.034
0.822 0.322 0.466
0.178 0.678 0.466
0.322 0.178 0.534
0.678 0.822 0.534
0.178 0.322 0.966
0.822 0.678 0.966
0.401 0.099 0.061
0.599 0.901 0.061
0.135 0.044 0.097
0.456 0.365 0.097
0.544 0.635 0.097
0.865 0.956 0.097
0.935 0.233 0.172
0.733 0.435 0.172
0.267 0.565 0.172
0.065 0.767 0.172
0.000 0.500 0.189
0.250 0.250 0.250
0.750 0.750 0.250
0.500 0.000 0.311
0.767 0.065 0.328
0.565 0.267 0.328
0.435 0.733 0.328
0.233 0.935 0.328
0.044 0.135 0.403
0.365 0.456 0.403
0.635 0.544 0.403
0.956 0.865 0.403
0.099 0.401 0.439
0.901 0.599 0.439
0.599 0.099 0.561
0.401 0.901 0.561
0.865 0.044 0.597
0.544 0.365 0.597
0.456 0.635 0.597
0.135 0.956 0.597
0.065 0.233 0.672
0.267 0.435 0.672
0.733 0.565 0.672
0.935 0.767 0.672
0.000 0.500 0.689
0.750 0.250 0.750
0.250 0.750 0.750
0.500 0.000 0.811
0.233 0.065 0.828
0.435 0.267 0.828
0.565 0.733 0.828
0.767 0.935 0.828
0.956 0.135 0.903
0.635 0.456 0.903
0.365 0.544 0.903
0.044 0.865 0.903
0.901 0.401 0.939
0.099 0.599 0.939
```

Properties
Space group   P4_2/ncm
E_tot   -1.45 eV per atom
Offset from the most stable computed form   0 meV per atom


Here is a relaxed LiZn crystal from OQMD. Energies are from PBE.

Cell and atoms, written as POSCAR:
```
LiZn
1.0
14.486 0.000 0.000
0.000 5.357 0.000
0.000 0.000 4.395
Li Zn
12 12
Direct
0.000 0.005 0.000
0.506 0.255 0.000
0.006 0.495 0.000
0.500 0.745 0.000
0.169 0.753 0.000
0.669 0.997 0.000
0.444 0.005 0.500
0.938 0.255 0.500
0.438 0.495 0.500
0.944 0.745 0.500
0.275 0.753 0.500
0.775 0.997 0.500
0.339 0.002 0.000
0.167 0.247 0.000
0.835 0.252 0.000
0.335 0.498 0.000
0.667 0.503 0.000
0.839 0.748 0.000
0.105 0.002 0.500
0.277 0.247 0.500
0.610 0.252 0.500
0.110 0.498 0.500
0.777 0.503 0.500
0.605 0.748 0.500
```

Properties
Space group   Pbcm
E_tot   -1.72 eV per atom


Here is a relaxed Li3Zn4 crystal from OQMD. Energies are from PBE.

Cell and atoms, written as POSCAR:
```
Li3Zn4
1.0
4.704 5.432 0.000
-2.351 6.789 0.000
0.000 0.000 4.360
Li Zn
6 8
Direct
0.138 0.282 0.000
0.294 0.567 0.000
0.854 0.722 0.000
0.385 0.099 0.500
0.670 0.659 0.500
0.230 0.814 0.500
0.006 0.001 0.000
0.573 0.135 0.000
0.707 0.435 0.000
0.428 0.857 0.000
0.951 0.246 0.500
0.518 0.379 0.500
0.095 0.524 0.500
0.817 0.946 0.500
```

Properties
Space group   P6_3/m
E_tot   -1.70 eV per atom
Offset from the most stable computed form   0 meV per atom